! Nd4Zn3Hg2 | Alexandria via LeMat-Bulk | PBE | relaxed; values from VASP
! Symmetry   C2/m (12)
! ΔE_f   -30 kJ per mole of atoms
&SYSTEM
  ibrav = 0, nat = 9, ntyp = 3
/
ATOMIC_SPECIES
Nd 144.24 Nd.upf
Zn 65.41 Zn.upf
Hg 200.59 Hg.upf
ATOMIC_POSITIONS crystal
Nd 0.642 0.717 0.913
Nd 0.085 0.831 0.342
Nd 0.915 0.169 0.658
Nd 0.358 0.283 0.087
Zn 0.381 0.238 0.440
Zn 0.000 0.000 0.000
Zn 0.619 0.762 0.560
Hg 0.240 0.521 0.711
Hg 0.760 0.479 0.289
CELL_PARAMETERS angstrom
-3.512 0.100 3.552
1.496 -2.407 5.061
4.189 6.899 3.947